LaPm2In3Te6 (GGA-PBE, relaxed); Fermi-level density of states = 0.18 states/eV/cell; final energy = -4.47 eV per atom; uncorrected formation energy = -1017 meV/atom
1.0
7.8649 -0.0004 0.0004
-3.9309 6.8122 0.0004
-1.3116 -2.2710 8.1085
In Te La Pm
3 6 1 2
Cartesian
1.3112 2.2704 4.0547
5.2506 -0.0048 4.0547
-2.6282 4.5455 4.0547
-1.3313 2.3077 1.8360
0.0211 0.0365 6.2842
2.6642 0.0001 1.8360
2.6014 4.5042 1.8251
-0.0417 4.5406 6.2733
3.9538 2.2331 6.2733
0.0000 0.0000 0.0000
3.9338 2.2700 0.0004
0.0003 4.5418 0.0004